A relaxed CaNi3P4O14 crystal. Source: Alexandria via LeMat-Bulk, functional GGA+U.

```
CaNi3P4O14
1.0
7.411 0.000 0.000
0.000 7.669 0.000
-3.542 0.000 8.784
Ca Ni P O
2 6 8 28
Direct
0.000 0.000 0.000
0.000 0.500 0.500
0.315 0.127 0.475
0.315 0.373 0.975
0.500 0.000 0.000
0.500 0.500 0.500
0.685 0.627 0.025
0.685 0.873 0.525
0.098 0.065 0.703
0.098 0.435 0.203
0.381 0.704 0.192
0.381 0.796 0.692
0.619 0.204 0.308
0.619 0.296 0.808
0.902 0.565 0.797
0.902 0.935 0.297
0.107 0.524 0.804
0.107 0.976 0.304
0.121 0.192 0.588
0.121 0.308 0.088
0.175 0.623 0.175
0.175 0.877 0.675
0.227 0.119 0.870
0.227 0.381 0.370
0.331 0.622 0.607
0.331 0.878 0.107
0.471 0.577 0.112
0.471 0.923 0.612
0.492 0.712 0.364
0.492 0.788 0.864
0.508 0.212 0.136
0.508 0.288 0.636
0.529 0.077 0.388
0.529 0.423 0.888
0.669 0.122 0.893
0.669 0.378 0.393
0.773 0.619 0.630
0.773 0.881 0.130
0.825 0.123 0.325
0.825 0.377 0.825
0.879 0.692 0.912
0.879 0.808 0.412
0.893 0.024 0.696
0.893 0.476 0.196
```

Results
* E_tot: -293.84 eV per cell
* spin magnetization: 5.95 μB per formula unit